(1)
# PmPr2AgN | Alexandria via LeMat-Bulk | PBE-GGA | relaxed
# * final energy: -5.6720 eV per atom
# * N(E_F): 5.03 states/eV/cell
data_PmPr2AgN
_chemical_formula_sum 'Pm1 Pr2 Ag1 N1'
_cell_length_a 5.078
_cell_length_b 5.078
_cell_length_c 4.921
_cell_angle_alpha 90.00
_cell_angle_beta 90.00
_cell_angle_gamma 90.00
_space_group_name_H-M_alt 'P 4/m m m'
_space_group_IT_number 123
_space_group_name_Hall '-P 4 2'
loop_
_atom_site_label
_atom_site_type_symbol
_atom_site_fract_x
_atom_site_fract_y
_atom_site_fract_z
_atom_site_occupancy
Pm1 Pm 0.000 0.000 0.000 1
Pr1 Pr 0.000 0.500 0.500 1
Ag1 Ag 0.500 0.500 0.000 1
N1 N 0.000 0.000 0.500 1

(2)
# Pr4Ag2N | Alexandria via LeMat-Bulk | PBE-GGA | relaxed
# * final energy: -5.1241 eV per atom
# * N(E_F): 6.50 states/eV/cell
# * energy relative to the lowest polymorph listed for this composition: 0.0453 eV/atom
data_Pr4Ag2N
_chemical_formula_sum 'Pr4 Ag2 N1'
_cell_length_a 7.133
_cell_length_b 3.609
_cell_length_c 7.721
_cell_angle_alpha 90.00
_cell_angle_beta 106.91
_cell_angle_gamma 90.00
_space_group_name_H-M_alt 'P 1 2/m 1'
_space_group_IT_number 10
_space_group_name_Hall '-P 2y'
loop_
_atom_site_label
_atom_site_type_symbol
_atom_site_fract_x
_atom_site_fract_y
_atom_site_fract_z
_atom_site_occupancy
Pr1 Pr 0.070 0.000 0.304 1
Pr2 Pr 0.375 0.500 0.691 1
Ag1 Ag 0.309 0.000 0.019 1
N1 N 0.000 0.500 0.500 1

(3)
# Pr12Ag3N5 | Alexandria via LeMat-Bulk | PBE-GGA | relaxed
# * final energy: -5.9711 eV per atom
# * N(E_F): 175.44 states/eV/cell
data_Pr12Ag3N5
_chemical_formula_sum 'Pr96 Ag24 N40'
_cell_length_a 16.237
_cell_length_b 16.237
_cell_length_c 16.237
_cell_angle_alpha 90.00
_cell_angle_beta 90.00
_cell_angle_gamma 90.00
_space_group_name_H-M_alt 'I a -3 d'
_space_group_IT_number 230
_space_group_name_Hall '-I 4bd 2c 3'
loop_
_atom_site_label
_atom_site_type_symbol
_atom_site_fract_x
_atom_site_fract_y
_atom_site_fract_z
_atom_site_occupancy
Pr1 Pr 0.037 0.051 0.648 1
Ag1 Ag 0.000 0.250 0.125 1
N1 N 0.000 0.000 0.000 1
N2 N 0.000 0.250 0.375 1

(4)
# Pr4AgN | Alexandria via LeMat-Bulk | PBE-GGA | relaxed
# * final energy: -5.4539 eV per atom
# * N(E_F): 13.80 states/eV/cell
data_Pr4AgN
_chemical_formula_sum 'Pr8 Ag2 N2'
_cell_length_a 5.286
_cell_length_b 9.446
_cell_length_c 7.218
_cell_angle_alpha 90.00
_cell_angle_beta 90.00
_cell_angle_gamma 90.00
_space_group_name_H-M_alt 'P m m n'
_space_group_IT_number 59
loop_
_space_group_symop_operation_xyz
'x,y,z'
'-x,-y,-z'
'-x+1/2,-y+1/2,z'
'x+1/2,y+1/2,-z'
'x+1/2,-y,-z'
'-x+1/2,y,z'
'-x,y+1/2,-z'
'x,-y+1/2,z'
loop_
_atom_site_label
_atom_site_type_symbol
_atom_site_fract_x
_atom_site_fract_y
_atom_site_fract_z
_atom_site_occupancy
Pr1 Pr 0.250 0.047 0.204 1
Pr2 Pr 0.250 0.250 0.711 1
Pr3 Pr 0.250 0.750 0.602 1
Ag1 Ag 0.250 0.750 0.022 1
N1 N 0.250 0.250 0.389 1

(5)
# Pr6AgN3 | Alexandria via LeMat-Bulk | PBE-GGA | relaxed
# * final energy: -6.3741 eV per atom
# * N(E_F): 15.68 states/eV/cell
# * energy relative to the lowest polymorph listed for this composition: 0.0000 eV/atom
data_Pr6AgN3
_chemical_formula_sum 'Pr12 Ag2 N6'
_cell_length_a 11.589
_cell_length_b 3.684
_cell_length_c 12.557
_cell_angle_alpha 90.00
_cell_angle_beta 112.07
_cell_angle_gamma 90.00
_space_group_name_H-M_alt 'P 1 21/m 1'
_space_group_IT_number 11
_space_group_name_Hall '-P 2yb'
loop_
_atom_site_label
_atom_site_type_symbol
_atom_site_fract_x
_atom_site_fract_y
_atom_site_fract_z
_atom_site_occupancy
Pr1 Pr 0.045 0.250 0.268 1
Pr2 Pr 0.136 0.750 0.577 1
Pr3 Pr 0.185 0.750 0.078 1
Pr4 Pr 0.337 0.750 0.382 1
Pr5 Pr 0.361 0.250 0.919 1
Pr6 Pr 0.455 0.250 0.213 1
Ag1 Ag 0.362 0.250 0.591 1
N1 N 0.007 0.250 0.619 1
N2 N 0.242 0.250 0.227 1
N3 N 0.407 0.750 0.060 1

(6)
# Pr3AgN2 | Alexandria via LeMat-Bulk | PBE-GGA | relaxed
# * final energy: -6.4549 eV per atom
# * N(E_F): 8.57 states/eV/cell
data_Pr3AgN2
_chemical_formula_sum 'Pr6 Ag2 N4'
_cell_length_a 3.536
_cell_length_b 11.848
_cell_length_c 6.261
_cell_angle_alpha 90.00
_cell_angle_beta 90.00
_cell_angle_gamma 90.00
_space_group_name_H-M_alt 'P m c 21'
_space_group_IT_number 26
_space_group_name_Hall 'P 2c -2'
loop_
_atom_site_label
_atom_site_type_symbol
_atom_site_fract_x
_atom_site_fract_y
_atom_site_fract_z
_atom_site_occupancy
Pr1 Pr 0.000 0.085 0.000 1
Pr2 Pr 0.500 0.171 0.520 1
Pr3 Pr 0.500 0.375 0.909 1
Ag1 Ag 0.000 0.383 0.348 1
N1 N 0.000 0.258 0.765 1
N2 N 0.500 0.001 0.262 1